Record 1
VASP calculation (PBE-GGA) on CeSiPd2 after structural relaxation.

```
CeSiPd2
1.0
4.4664 0.0000 0.0000
0.0000 4.0202 0.0000
-0.8836 0.0000 4.4363
Ce Si Pd
1 1 2
direct
0.0000 0.0000 0.0000
0.5000 0.0000 0.5000
0.3023 0.5000 0.7016
0.6977 0.5000 0.2984
```

## Properties
Magnetic moment: 0.49 μB per formula unit

Record 2
VASP calculation (PBE-GGA) on YTi2N after structural relaxation.

```
YTi2N
1.0
-3.0954 3.0954 4.3762
3.0954 -3.0954 4.3762
3.0954 3.0954 -4.3762
Y Ti N
2 4 2
direct
0.0000 0.0000 0.0000
0.7500 0.2500 0.5000
0.3351 0.6250 0.2101
0.3750 0.5851 0.7101
0.4149 0.1250 0.7899
0.8750 0.6649 0.2899
0.2500 0.7500 0.5000
0.5000 0.5000 0.0000
```

## Properties
Magnetic moment: 0.00 μB per formula unit

| no. | total energy (eV per cell) | uncorrected formation energy (meV per atom) | DOS(E_F) (states/eV per cell) |
| --- | --- | --- | --- |
| 1 | -23.8 | -510 | 5.42 |
| 2 | -65.1 | -491 | 6.03 |